## MgCrIn2 (GGA-PBEsol)

Data for a geometry-optimized MgCrIn2 structure.

Summary:
Size of the total moment ... 0.8976 μB/atom
DFT total energy ... -16.85 eV per cell
Space-group type ... P4mm

Cell: 3.704 3.704 5.966 Å, 90.00 90.00 90.00°
Element x y z (fractional)
1 Mg 0.000 0.000 0.000
2 Cr 0.500 0.500 0.251
3 In 0.000 0.000 0.472
4 In 0.500 0.500 0.752

## KDyO2 (GGA-PBEsol)

Data for a geometry-optimized KDyO2 structure.

Summary:
Size of the total moment ... 0.0000 μB/atom
DFT total energy ... -27.86 eV per cell
Space-group type ... R-3m

Cell: 6.469 6.469 6.469 Å, 30.81 30.81 30.81°
Element x y z (fractional)
1 K 0.000 0.000 0.000
2 Dy 0.500 0.500 0.500
3 O 0.229 0.229 0.229
4 O 0.771 0.771 0.771

## RbMg3Cl (GGA-PBEsol)

Data for a geometry-optimized RbMg3Cl structure.

Summary:
Size of the total moment ... 0.0002 μB/atom
DFT total energy ... -7.72 eV per cell
Space-group type ... Pm-3m

Cell: 5.674 5.674 5.674 Å, 90.00 90.00 90.00°
Element x y z (fractional)
1 Rb 0.000 0.000 0.000
2 Mg 0.000 0.500 0.500
3 Mg 0.500 0.000 0.500
4 Mg 0.500 0.500 0.000
5 Cl 0.500 0.500 0.500

## TcBC2Cl (GGA-PBEsol)

Data for a geometry-optimized TcBC2Cl structure.

Summary:
Size of the total moment ... 0.1611 μB/atom
DFT total energy ... -29.86 eV per cell
Space-group type ... P4/mmm

Cell: 3.337 3.337 4.645 Å, 90.00 90.00 90.00°
Element x y z (fractional)
1 Tc 0.000 0.000 0.000
2 B 0.500 0.500 0.500
3 C 0.000 0.500 0.500
4 C 0.500 0.000 0.500
5 Cl 0.500 0.500 0.000